[1]
NaPr3Pb5 | PBE-GGA | optimized geometry

The calculation puts the formation enthalpy at 0 K at -0.384 eV/atom. For the total energy, the calculation gives -0.1537 Ha/atom. The calculation puts the calculated density at 8.95 g/cm³.

The structure belongs to space group P6_3/mcm (No. 193); the cell edges are 9.8263, 9.8263 and 6.5745 Å and the angles 90.00°, 90.00° and 120.00°. The inequivalent atoms are Na at (0.0000, 0.0000, 0.0000), Pr at (0.0000, 0.3680, 0.2500), Pb at (0.0000, 0.2972, 0.7500) and Pb at (0.3333, 0.6667, 0.0000).



[2]
NaPr2Pb | PBE-GGA | optimized geometry

The calculation puts the formation enthalpy at 0 K at -0.117 eV/atom. For the total energy, the calculation gives -0.1383 Ha/atom. The calculation puts the calculated density at 6.47 g/cm³.

The structure belongs to space group P4/mmm (No. 123); the cell edges are 3.949, 3.949 and 8.430 Å and the angles 90.00°, 90.00° and 90.00°. The inequivalent atoms are Na at (0.000, 0.000, 0.000), Pr at (0.500, 0.500, 0.270) and Pb at (0.000, 0.000, 0.500).



[3]
NaPrPb | PBE-GGA | optimized geometry

The calculation puts the formation enthalpy at 0 K at -0.251 eV/atom. For the total energy, the calculation gives -0.1294 Ha/atom. The calculation puts the calculated density at 5.80 g/cm³.

The structure belongs to space group F-43m (No. 216); the cell edges are 7.519, 7.519 and 7.519 Å and the angles 90.00°, 90.00° and 90.00°. The inequivalent atoms are Na at (0.000, 0.000, 0.000), Pr at (0.000, 0.000, 0.500) and Pb at (0.250, 0.250, 0.750).



[4]
NaPrPb | PBE-GGA | optimized geometry

The calculation puts the formation enthalpy at 0 K at -0.258 eV/atom. For the total energy, the calculation gives -0.1296 Ha/atom. The calculation puts the calculated density at 6.86 g/cm³.

The structure belongs to space group P3m1 (No. 156); the cell edges are 5.3247, 5.3247 and 3.6578 Å and the angles 90.00°, 90.00° and 120.00°. The inequivalent atoms are Na at (0.0000, 0.0000, 0.0000), Pr at (0.3333, 0.6667, 0.4822) and Pb at (0.6667, 0.3333, 0.9478).



[5]
NaPrPb | PBE-GGA | optimized geometry

The calculation puts the formation enthalpy at 0 K at -0.420 eV/atom. For the total energy, the calculation gives -0.1356 Ha/atom. The calculation puts the calculated density at 6.74 g/cm³.

The structure belongs to space group P6_3/mmc (No. 194); the cell edges are 5.6093, 5.6093 and 6.7087 Å and the angles 90.00°, 90.00° and 120.00°. The inequivalent atoms are Na at (0.0000, 0.0000, 0.0000), Pr at (0.3333, 0.6667, 0.2500) and Pb at (0.3333, 0.6667, 0.7500).



[6]
NaPrPb | PBE-GGA | optimized geometry

The calculation puts the formation enthalpy at 0 K at -0.163 eV/atom. For the total energy, the calculation gives -0.1261 Ha/atom. The calculation puts the calculated density at 6.33 g/cm³.

The structure belongs to space group I4mm (No. 107); the cell edges are 3.594, 3.594 and 15.073 Å and the angles 90.00°, 90.00° and 90.00°. The inequivalent atoms are Na at (0.000, 0.000, 0.000), Pr at (0.000, 0.000, 0.297) and Pb at (0.000, 0.000, 0.649).



[7]
NaPrPb | PBE-GGA | optimized geometry

The calculation puts the formation enthalpy at 0 K at -0.139 eV/atom. For the total energy, the calculation gives -0.1252 Ha/atom. The calculation puts the calculated density at 5.85 g/cm³.

The structure belongs to space group R-3m (No. 166, hexagonal axes); the cell edges are 5.1774, 5.1774 and 27.2203 Å and the angles 90.00°, 90.00° and 120.00°. The inequivalent atoms are Na at (0.0000, 0.0000, 0.1369), Pr at (0.0000, 0.0000, 0.2876) and Pb at (0.0000, 0.0000, 0.4221).



[8]
NaPr2Pb | PBE-GGA | optimized geometry

The calculation puts the formation enthalpy at 0 K at -0.235 eV/atom. For the total energy, the calculation gives -0.1427 Ha/atom. The calculation puts the calculated density at 6.83 g/cm³.

The structure belongs to space group P4/mmm (No. 123); the cell edges are 5.190, 5.190 and 4.625 Å and the angles 90.00°, 90.00° and 90.00°. The inequivalent atoms are Na at (0.000, 0.000, 0.000), Pr at (0.000, 0.500, 0.500) and Pb at (0.500, 0.500, 0.000).



[9]
NaPrPtPb | PBE-GGA | optimized geometry

The calculation puts the formation enthalpy at 0 K at -0.543 eV/atom. For the total energy, the calculation gives -0.1656 Ha/atom. The calculation puts the calculated density at 10.31 g/cm³.

The structure belongs to space group F-43m (No. 216); the cell edges are 7.145, 7.145 and 7.145 Å and the angles 90.00°, 90.00° and 90.00°. The inequivalent atoms are Na at (0.000, 0.000, 0.000), Pr at (0.250, 0.250, 0.250), Pt at (0.000, 0.000, 0.500) and Pb at (0.250, 0.250, 0.750).



[10]
NaPrRhPb | PBE-GGA | optimized geometry

The calculation puts the formation enthalpy at 0 K at -0.285 eV/atom. For the total energy, the calculation gives -0.1681 Ha/atom. The calculation puts the calculated density at 8.73 g/cm³.

The structure belongs to space group F-43m (No. 216); the cell edges are 7.118, 7.118 and 7.118 Å and the angles 90.00°, 90.00° and 90.00°. The inequivalent atoms are Na at (0.000, 0.000, 0.000), Pr at (0.250, 0.250, 0.750), Rh at (0.000, 0.000, 0.500) and Pb at (0.250, 0.250, 0.250).



[11]
NaPrPb2S4 | PBE-GGA | optimized geometry

The value obtained for the uncorrected formation energy is -1128 meV/atom. For the total energy, the calculation gives -0.1794 Ha/atom. The calculation puts the calculated density at 5.66 g/cm³.

The structure belongs to space group P2/m (No. 10); the cell edges are 7.158, 4.191 and 7.298 Å and the angles 90.00°, 108.69° and 90.00°. The inequivalent atoms are Na at (0.000, 0.000, 0.000), Pr at (0.500, 0.500, 0.000), Pb at (0.000, 0.500, 0.500), Pb at (0.500, 0.000, 0.500), S at (0.256, 0.500, 0.242) and S at (0.259, 0.000, 0.765).



[12]
NaPr2PbS4 | PBE-GGA | optimized geometry

The value obtained for the uncorrected formation energy is -1482 meV/atom. For the total energy, the calculation gives -0.1973 Ha/atom. The calculation puts the calculated density at 5.21 g/cm³.

The structure belongs to space group Imma (No. 74); the cell edges are 8.326, 8.353 and 11.735 Å and the angles 90.00°, 90.00° and 90.00°. The inequivalent atoms are Na at (0.250, 0.250, 0.250), Pr at (0.000, 0.000, 0.000), Pr at (0.250, 0.250, 0.750), Pb at (0.000, 0.000, 0.500), S at (0.000, 0.008, 0.754) and S at (0.243, 0.250, 0.999).



| no. | magnetic moment (μB per formula unit) |
| --- | --- |
| 1 | 0.00 |
| 2 | 0.06 |
| 3 | 0.00 |
| 4 | 0.00 |
| 5 | 0.00 |
| 6 | 0.00 |
| 7 | 0.00 |
| 8 | 0.00 |
| 9 | 0.00 |
| 10 | 0.00 |
| 11 | 0.00 |
| 12 | 0.00 |